## ZnGaSe2Br (SCAN)

Data for a crystal of ZnGaSe2Br relaxed with PBEsol.

Cell and atoms, written as CIF:
```
data_ZnGaSe2Br
_space_group_name_H-M_alt 'P 4/m m m'
_space_group_IT_number 123
_space_group_name_Hall '-P 4 2'
_cell_length_a 4.947
_cell_length_b 4.947
_cell_length_c 4.968
_cell_angle_alpha 90.00
_cell_angle_beta 90.00
_cell_angle_gamma 90.00
loop_
_atom_site_label
_atom_site_type_symbol
_atom_site_fract_x
_atom_site_fract_y
_atom_site_fract_z
_atom_site_occupancy
Zn1 Zn 0.000 0.000 0.000 1
Ga1 Ga 0.500 0.500 0.500 1
Se1 Se 0.000 0.500 0.500 1
Br1 Br 0.500 0.500 0.000 1
```

Fermi-level density of states in states/eV per cell: 2.94
Energy relative to the elements, uncorrected in meV/atom: 232
VASP energy in eV per atom: -17.6634

=====

## SrLaCr2 (SCAN)

Data for a crystal of SrLaCr2 relaxed with PBEsol.

Cell and atoms, written as CIF:
```
data_SrLaCr2
_space_group_name_H-M_alt 'P m m m'
_space_group_IT_number 47
_space_group_name_Hall '-P 2 2'
_cell_length_a 3.616
_cell_length_b 4.405
_cell_length_c 6.653
_cell_angle_alpha 90.00
_cell_angle_beta 90.00
_cell_angle_gamma 90.00
loop_
_atom_site_label
_atom_site_type_symbol
_atom_site_fract_x
_atom_site_fract_y
_atom_site_fract_z
_atom_site_occupancy
Sr1 Sr 0.000 0.000 0.000 1
La1 La 0.000 0.000 0.500 1
Cr1 Cr 0.500 0.500 0.361 1
```

Fermi-level density of states in states/eV per cell: 4.03
VASP energy in eV per atom: -24.5956
Formation energy from the elements in meV/atom: 942

=====

## AlZnAu (SCAN)

Data for a crystal of AlZnAu relaxed with PBEsol.

Cell and atoms, written as CIF:
```
data_AlZnAu
_space_group_name_H-M_alt 'F -4 3 m'
_space_group_IT_number 216
_space_group_name_Hall 'F -4 2 3'
_cell_length_a 5.985
_cell_length_b 5.985
_cell_length_c 5.985
_cell_angle_alpha 90.00
_cell_angle_beta 90.00
_cell_angle_gamma 90.00
loop_
_atom_site_label
_atom_site_type_symbol
_atom_site_fract_x
_atom_site_fract_y
_atom_site_fract_z
_atom_site_occupancy
Al1 Al 0.000 0.000 0.000 1
Zn1 Zn 0.000 0.000 0.500 1
Au1 Au 0.250 0.250 0.750 1
```

Fermi-level density of states in states/eV per cell: 3.94
VASP energy in eV per atom: -30.6134
Formation energy from the elements in meV/atom: -472

=====

## Ba2HfTlTe (SCAN)

Data for a crystal of Ba2HfTlTe relaxed with PBEsol.

Cell and atoms, written as CIF:
```
data_Ba2HfTlTe
_space_group_name_H-M_alt 'P 4/m m m'
_space_group_IT_number 123
_space_group_name_Hall '-P 4 2'
_cell_length_a 6.085
_cell_length_b 6.085
_cell_length_c 5.352
_cell_angle_alpha 90.00
_cell_angle_beta 90.00
_cell_angle_gamma 90.00
loop_
_atom_site_label
_atom_site_type_symbol
_atom_site_fract_x
_atom_site_fract_y
_atom_site_fract_z
_atom_site_occupancy
Ba1 Ba 0.000 0.500 0.000 1
Hf1 Hf 0.000 0.000 0.000 1
Tl1 Tl 0.000 0.000 0.500 1
Te1 Te 0.500 0.500 0.500 1
```

Fermi-level density of states in states/eV per cell: 4.06
Energy relative to the elements, uncorrected in meV/atom: 148
VASP energy in eV per atom: -50.1287

=====

## KReAu2 (SCAN)

Data for a crystal of KReAu2 relaxed with PBEsol.

Cell and atoms, written as CIF:
```
data_KReAu2
_space_group_name_H-M_alt 'I m m m'
_space_group_IT_number 71
_space_group_name_Hall '-I 2 2'
_cell_length_a 4.717
_cell_length_b 4.885
_cell_length_c 6.822
_cell_angle_alpha 90.00
_cell_angle_beta 90.00
_cell_angle_gamma 90.00
loop_
_atom_site_label
_atom_site_type_symbol
_atom_site_fract_x
_atom_site_fract_y
_atom_site_fract_z
_atom_site_occupancy
K1 K 0.000 0.000 0.000 1
Re1 Re 0.000 0.000 0.500 1
Au1 Au 0.000 0.500 0.239 1
```

Fermi-level density of states in states/eV per cell: 4.18
VASP energy in eV per atom: -53.4204
Formation energy from the elements in meV/atom: 1015

=====

## Eu2GdTaO6 (SCAN)

Data for a crystal of Eu2GdTaO6 relaxed with PBEsol.

Cell and atoms, written as CIF:
```
data_Eu2GdTaO6
_space_group_name_H-M_alt 'F m -3 m'
_space_group_IT_number 225
_space_group_name_Hall '-F 4 2 3'
_cell_length_a 8.361
_cell_length_b 8.361
_cell_length_c 8.361
_cell_angle_alpha 90.00
_cell_angle_beta 90.00
_cell_angle_gamma 90.00
loop_
_atom_site_label
_atom_site_type_symbol
_atom_site_fract_x
_atom_site_fract_y
_atom_site_fract_z
_atom_site_occupancy
Eu1 Eu 0.250 0.250 0.250 1
Gd1 Gd 0.000 0.000 0.000 1
Ta1 Ta 0.000 0.000 0.500 1
O1 O 0.000 0.000 0.264 1
```

Energy relative to the elements, uncorrected in meV/atom: -3259
VASP energy in eV per atom: -30.2804

=====

## BiTeW3 (SCAN)

Data for a crystal of BiTeW3 relaxed with PBEsol.

Cell and atoms, written as CIF:
```
data_BiTeW3
_space_group_name_H-M_alt 'P m -3 m'
_space_group_IT_number 221
_space_group_name_Hall '-P 4 2 3'
_cell_length_a 5.008
_cell_length_b 5.008
_cell_length_c 5.008
_cell_angle_alpha 90.00
_cell_angle_beta 90.00
_cell_angle_gamma 90.00
loop_
_atom_site_label
_atom_site_type_symbol
_atom_site_fract_x
_atom_site_fract_y
_atom_site_fract_z
_atom_site_occupancy
Bi1 Bi 0.000 0.000 0.000 1
Te1 Te 0.500 0.500 0.500 1
W1 W 0.000 0.000 0.500 1
```

Fermi-level density of states in states/eV per cell: 4.74
Energy relative to the elements, uncorrected in meV/atom: 3281
VASP energy in eV per atom: -61.6984

=====

## RbCdTe2N (SCAN)

Data for a crystal of RbCdTe2N relaxed with PBEsol.

Cell and atoms, written as CIF:
```
data_RbCdTe2N
_space_group_name_H-M_alt 'P 4/m m m'
_space_group_IT_number 123
_space_group_name_Hall '-P 4 2'
_cell_length_a 6.112
_cell_length_b 6.112
_cell_length_c 4.026
_cell_angle_alpha 90.00
_cell_angle_beta 90.00
_cell_angle_gamma 90.00
loop_
_atom_site_label
_atom_site_type_symbol
_atom_site_fract_x
_atom_site_fract_y
_atom_site_fract_z
_atom_site_occupancy
Rb1 Rb 0.000 0.000 0.000 1
Cd1 Cd 0.500 0.500 0.500 1
Te1 Te 0.000 0.500 0.500 1
N1 N 0.500 0.500 0.000 1
```

Fermi-level density of states in states/eV per cell: 3.42
Energy relative to the elements, uncorrected in meV/atom: 429
VASP energy in eV per atom: -26.5604

=====

## La3SeF (SCAN)

Data for a crystal of La3SeF relaxed with PBEsol.

Cell and atoms, written as CIF:
```
data_La3SeF
_space_group_name_H-M_alt 'P m -3 m'
_space_group_IT_number 221
_space_group_name_Hall '-P 4 2 3'
_cell_length_a 4.906
_cell_length_b 4.906
_cell_length_c 4.906
_cell_angle_alpha 90.00
_cell_angle_beta 90.00
_cell_angle_gamma 90.00
loop_
_atom_site_label
_atom_site_type_symbol
_atom_site_fract_x
_atom_site_fract_y
_atom_site_fract_z
_atom_site_occupancy
La1 La 0.000 0.000 0.500 1
Se1 Se 0.500 0.500 0.500 1
F1 F 0.000 0.000 0.000 1
```

Fermi-level density of states in states/eV per cell: 4.49
Energy relative to the elements, uncorrected in meV/atom: -1446
VASP energy in eV per atom: -32.0323

=====

## CaCoRh2 (SCAN)

Data for a crystal of CaCoRh2 relaxed with PBEsol.

Cell and atoms, written as CIF:
```
data_CaCoRh2
_space_group_name_H-M_alt 'P 4/m m m'
_space_group_IT_number 123
_space_group_name_Hall '-P 4 2'
_cell_length_a 3.951
_cell_length_b 3.951
_cell_length_c 3.787
_cell_angle_alpha 90.00
_cell_angle_beta 90.00
_cell_angle_gamma 90.00
loop_
_atom_site_label
_atom_site_type_symbol
_atom_site_fract_x
_atom_site_fract_y
_atom_site_fract_z
_atom_site_occupancy
Ca1 Ca 0.000 0.000 0.000 1
Co1 Co 0.500 0.500 0.000 1
Rh1 Rh 0.000 0.500 0.500 1
```

Fermi-level density of states in states/eV per cell: 3.16
VASP energy in eV per atom: -23.5495
Formation energy from the elements in meV/atom: 78

=====

## SrZrMn3 (SCAN)

Data for a crystal of SrZrMn3 relaxed with PBEsol.

Cell and atoms, written as CIF:
```
data_SrZrMn3
_space_group_name_H-M_alt 'P m -3 m'
_space_group_IT_number 221
_space_group_name_Hall '-P 4 2 3'
_cell_length_a 4.739
_cell_length_b 4.739
_cell_length_c 4.739
_cell_angle_alpha 90.00
_cell_angle_beta 90.00
_cell_angle_gamma 90.00
loop_
_atom_site_label
_atom_site_type_symbol
_atom_site_fract_x
_atom_site_fract_y
_atom_site_fract_z
_atom_site_occupancy
Sr1 Sr 0.000 0.000 0.000 1
Zr1 Zr 0.500 0.500 0.500 1
Mn1 Mn 0.000 0.000 0.500 1
```

Fermi-level density of states in states/eV per cell: 5.23
VASP energy in eV per atom: -19.9459
Formation energy from the elements in meV/atom: 1602

=====

## ZrTaCr2 (SCAN)

Data for a crystal of ZrTaCr2 relaxed with PBEsol.

Cell and atoms, written as CIF:
```
data_ZrTaCr2
_space_group_name_H-M_alt 'C m m 2'
_space_group_IT_number 35
_space_group_name_Hall 'C 2 -2'
_cell_length_a 3.064
_cell_length_b 4.592
_cell_length_c 8.682
_cell_angle_alpha 90.00
_cell_angle_beta 90.00
_cell_angle_gamma 90.00
loop_
_atom_site_label
_atom_site_type_symbol
_atom_site_fract_x
_atom_site_fract_y
_atom_site_fract_z
_atom_site_occupancy
Zr1 Zr 0.000 0.000 0.000 1
Ta1 Ta 0.000 0.500 0.698 1
Cr1 Cr 0.000 0.000 0.454 1
Cr2 Cr 0.000 0.500 0.264 1
```

Fermi-level density of states in states/eV per cell: 6.99
VASP energy in eV per atom: -33.2417
Formation energy from the elements in meV/atom: 271